First-principles (PBE) data for In2FeHg after structural relaxation, as listed in Alexandria via LeMat-Bulk.

Cell: 4.915 4.915 5.988 Å, 77.85 77.85 37.36°
Last column: magnetic moment on the atom in μB.
Fractional positions:
Fe: 0.750 0.750 0.750  2.74
In: 0.487 0.487 0.530  -0.02
In: 0.013 0.013 0.970  -0.02
Hg: 0.250 0.250 0.250  0.02

Computed properties:
For the formation energy from the elements, the calculation gives 348 meV per atom. For the final energy, the calculation gives -12.85 eV/cell.



First-principles (PBE) data for LiTlI3 after structural relaxation, as listed in Alexandria via LeMat-Bulk.

Cell: 6.167 6.167 6.167 Å, 90.00 90.00 90.00°
Fractional positions:
I: 0.000 0.500 0.000
I: 0.500 0.000 0.000
Li: 0.500 0.500 0.500
I: 0.000 0.000 0.500
Tl: 0.000 0.000 0.000

Computed properties:
For the formation energy (no corrections), the calculation gives -0.38 eV per atom. For the final energy, the calculation gives -10.85 eV/cell.



First-principles (PBE) data for CaCe2Cl11 after structural relaxation, as listed in Alexandria via LeMat-Bulk.

Cell: 10.505 10.690 10.690 Å, 73.28 60.57 60.57°
Last column: magnetic moment on the atom in μB.
Fractional positions:
Cl: 0.000 0.000 0.000  0.36
Ca: 0.250 0.250 0.250  0.00
Cl: 0.463 0.972 0.303  0.00
Cl: 0.537 0.028 0.697  0.00
Cl: 0.095 0.547 0.724  0.01
Cl: 0.595 0.224 0.047  0.01
Cl: 0.134 0.047 0.224  0.01
Ca: 0.750 0.750 0.750  0.00
Cl: 0.613 0.307 0.693  0.16
Cl: 0.738 0.697 0.028  0.00
Cl: 0.113 0.193 0.807  0.16
Cl: 0.238 0.528 0.197  0.00
Cl: 0.762 0.472 0.803  0.00
Cl: 0.366 0.276 0.453  0.01
Ce: 0.655 0.697 0.303  0.01
Cl: 0.262 0.303 0.972  0.00
Ce: 0.345 0.303 0.697  0.01
Cl: 0.963 0.803 0.472  0.00
Ce: 0.155 0.803 0.197  0.01
Ce: 0.845 0.197 0.803  0.01
Cl: 0.387 0.693 0.307  0.16
Cl: 0.634 0.724 0.547  0.01
Cl: 0.037 0.197 0.528  0.00
Cl: 0.887 0.807 0.193  0.16
Cl: 0.500 0.500 0.500  0.36
Cl: 0.905 0.453 0.276  0.01
Cl: 0.866 0.953 0.776  0.01
Cl: 0.405 0.776 0.953  0.01

Computed properties:
For the formation energy (no corrections), the calculation gives -1.77 eV per atom. For the final energy, the calculation gives -117.90 eV/cell.



First-principles (PBE) data for PuMgSi4 after structural relaxation, as listed in Alexandria via LeMat-Bulk.

Cell: 5.209 5.209 5.209 Å, 60.00 60.00 60.00°
Last column: magnetic moment on the atom in μB.
Fractional positions:
Si: 0.623 0.131 0.623  -0.02
Pu: 0.000 0.000 0.000  5.19
Mg: 0.250 0.250 0.250  0.01
Si: 0.623 0.623 0.623  -0.02
Si: 0.623 0.623 0.131  -0.02
Si: 0.131 0.623 0.623  -0.02

Computed properties:
For the formation energy (no corrections), the calculation gives -0.17 eV per atom. For the final energy, the calculation gives -38.62 eV/cell.



First-principles (PBE) data for In7GaBi2 after structural relaxation, as listed in Alexandria via LeMat-Bulk.

Cell: 9.192 9.267 9.244 Å, 64.40 60.19 60.27°
Fractional positions:
In: 0.086 0.318 0.974
In: 0.925 0.018 0.684
In: 0.225 0.893 0.896
Bi: 0.708 0.336 0.332
Ga: 0.002 0.250 0.750
In: 0.075 0.982 0.316
In: 0.914 0.682 0.026
In: 0.986 0.393 0.396
In: 0.775 0.107 0.104
In: 0.622 0.818 0.474
In: 0.508 0.250 0.750
In: 0.627 0.482 0.816
In: 0.014 0.607 0.604
Bi: 0.376 0.164 0.168
In: 0.373 0.518 0.184
Bi: 0.624 0.836 0.832
Ga: 0.998 0.750 0.250
In: 0.492 0.750 0.250
Bi: 0.292 0.664 0.668
In: 0.378 0.182 0.526

Computed properties:
For the formation energy from the elements, the calculation gives 40 meV per atom. For the final energy, the calculation gives -59.12 eV/cell.



First-principles (PBE) data for MnSbI6 after structural relaxation, as listed in Alexandria via LeMat-Bulk.

Cell: 7.321 7.321 7.846 Å, 62.19 62.19 60.00°
Last column: magnetic moment on the atom in μB.
Fractional positions:
I: 0.423 0.734 0.739  -0.02
I: 0.577 0.266 0.261  -0.02
Mn: 0.500 0.500 0.500  3.82
Sb: 0.000 0.000 0.000  0.02
I: 0.104 0.423 0.739  -0.02
I: 0.734 0.104 0.739  -0.02
I: 0.266 0.896 0.261  -0.02
I: 0.896 0.577 0.261  -0.02

Computed properties:
For the formation energy (no corrections), the calculation gives -0.24 eV per atom. For the final energy, the calculation gives -24.49 eV/cell.



First-principles (PBE) data for Al2AgH after structural relaxation, as listed in Alexandria via LeMat-Bulk.

Cell: 4.744 4.744 6.614 Å, 68.98 68.98 90.00°
Fractional positions:
Ag: 0.750 0.250 0.500
H: 0.250 0.750 0.500
Al: 0.266 0.625 0.250
Al: 0.484 0.125 0.250
Al: 0.875 0.734 0.750
Al: 0.375 0.516 0.750
H: 0.500 0.500 0.000
Ag: 0.000 0.000 0.000

Computed properties:
For the final energy, the calculation gives -24.98 eV/cell.



First-principles (PBE) data for LaNi4Ru after structural relaxation, as listed in Alexandria via LeMat-Bulk.

Cell: 4.970 4.970 4.970 Å, 60.00 60.00 60.00°
Last column: magnetic moment on the atom in μB.
Fractional positions:
Ni: 0.376 0.376 0.376  0.51
Ru: 0.750 0.750 0.750  1.07
La: 0.000 0.000 0.000  -0.05
Ni: 0.871 0.376 0.376  0.51
Ni: 0.376 0.376 0.871  0.51
Ni: 0.376 0.871 0.376  0.51

Computed properties:
For the formation energy from the elements, the calculation gives 21 meV per atom. For the final energy, the calculation gives -37.20 eV/cell.